# 1
Computed, not measured: RbHfS2Cl after structural relaxation at the GGA-PBE level of DFT.

Calculated volume in Å³ per cell: 129.1
DOS at the Fermi energy in states/eV per cell: 0.3
DFT total energy in eV per atom: -5.728
Theoretical density in g cm⁻³: 4.67
ΔE_f (raw) in kJ per mole of atoms: -147.0
Offset from the most stable computed form in meV/atom: 0

Lattice parameters (Å, degrees): 4.9922 4.9922 5.1816 90.00 90.00 90.00
Closest atoms and distances in Å follow each position.
Space group P4/mmm (No. 123)
Unique sites:
Rb 0.0000 0.0000 0.0000 [1 per cell]  4 Cl 3.53, 8 S 3.60
Hf 0.5000 0.5000 0.5000 [1 per cell]  4 S 2.50, 2 Cl 2.59
S 0.0000 0.5000 0.5000 [2 per cell]  2 Hf 2.50
Cl 0.5000 0.5000 0.0000 [1 per cell]  2 Hf 2.59

# 2
Computed, not measured: HfCd2Se after structural relaxation at the GGA-PBE level of DFT.

Calculated volume in Å³ per cell: 366.6
DOS at the Fermi energy in states/eV per cell: 11.4
DFT total energy in eV per atom: -3.815
Theoretical density in g cm⁻³: 8.74
ΔE_f (raw) in kJ per mole of atoms: 0.2

Lattice parameters (Å, degrees): 8.1855 8.1855 5.4716 90.00 90.00 90.00
Closest atoms and distances in Å follow each position.
Space group I-42d (No. 122)
Unique sites:
Hf 0.0000 0.0000 0.0000 [4 per cell]  2 Se 2.74, 4 Cd 3.05
Cd 0.2359 0.7500 0.6250 [8 per cell]  2 Cd 2.75, 2 Se 2.90, 2 Hf 3.05
Se 0.0000 0.0000 0.5000 [4 per cell]  2 Hf 2.74, 4 Cd 2.90